## a
Entry from Alexandria: BaZrCd2 after structural relaxation (GGA-PBE).

The space group is R-3m (No. 166, hexagonal axes) and the conventional cell measures 3.6034, 3.6034 and 31.0188 Å, with angles of 90.00, 90.00 and 120.00 degrees. The distinct sites, in fractional coordinates, are Ba at (0.0000, 0.0000, 0.0000), Zr at (0.0000, 0.0000, 0.5000) and Cd at (0.0000, 0.0000, 0.2390).

## b
Entry from Alexandria: BaZrCd2 after structural relaxation (GGA-PBE).

The space group is C2/m (No. 12) and the conventional cell measures 9.7790, 3.6034 and 7.2332 Å, with angles of 90.00, 101.14 and 90.00 degrees. The distinct sites, in fractional coordinates, are Ba at (0.0000, 0.0000, 0.0000), Zr at (0.0000, 0.5000, 0.5000) and Cd at (0.2391, 0.0000, 0.6745).

Most stable to least stable, the ends of the list are b and a.

## a
Entry from Alexandria: BaZrCd2 after structural relaxation (GGA-PBE).

The space group is I-4m2 (No. 119) and the conventional cell measures 4.6640, 4.6640 and 10.3840 Å, with angles of 90.00, 90.00 and 90.00 degrees. The distinct sites, in fractional coordinates, are Ba at (0.0000, 0.0000, 0.0000), Zr at (0.0000, 0.5000, 0.2500), Cd at (0.0000, 0.0000, 0.5000) and Cd at (0.0000, 0.5000, 0.7500).

## b
Entry from Alexandria: BaZrCd2 after structural relaxation (GGA-PBE).

The space group is Pmm2 (No. 25) and the conventional cell measures 3.3755, 5.2405 and 6.3526 Å, with angles of 90.00, 90.00 and 90.00 degrees. The distinct sites, in fractional coordinates, are Ba at (0.0000, 0.0000, 0.0000), Zr at (0.0000, 0.5000, 0.3950), Cd at (0.5000, 0.0000, 0.4920) and Cd at (0.5000, 0.5000, 0.7904).

## c
Entry from Alexandria: BaZrCd2 after structural relaxation (GGA-PBE).

The space group is Cmmm (No. 65) and the conventional cell measures 7.1308, 9.4290 and 3.2210 Å, with angles of 90.00, 90.00 and 90.00 degrees. The distinct sites, in fractional coordinates, are Ba at (0.0000, 0.0000, 0.0000), Zr at (0.0000, 0.5000, 0.0000) and Cd at (0.2500, 0.2500, 0.5000).

## d
Entry from Alexandria: BaZrCd2 after structural relaxation (GGA-PBE).

The space group is I-42d (No. 122) and the conventional cell measures 5.3119, 5.3119 and 20.8182 Å, with angles of 90.00, 90.00 and 90.00 degrees. The distinct sites, in fractional coordinates, are Ba at (0.0000, 0.0000, 0.0000), Zr at (0.0000, 0.0000, 0.5000) and Cd at (0.1141, 0.2500, 0.6250).

Most stable to least stable, the ends of the list are b and d.

## a
Entry from Alexandria: Ba3Ce after structural relaxation (GGA-PBE).

The space group is P6_3/mmc (No. 194) and the conventional cell measures 8.5033, 8.5033 and 6.8119 Å, with angles of 90.00, 90.00 and 120.00 degrees. The distinct sites, in fractional coordinates, are Ba at (0.1720, 0.3440, 0.2500) and Ce at (0.3333, 0.6667, 0.7500).

## b
Entry from Alexandria: Ba3Ce after structural relaxation (GGA-PBE).

The space group is I4/mmm (No. 139) and the conventional cell measures 5.9753, 5.9753 and 11.9137 Å, with angles of 90.00, 90.00 and 90.00 degrees. The distinct sites, in fractional coordinates, are Ba at (0.0000, 0.0000, 0.0000), Ba at (0.0000, 0.5000, 0.2500) and Ce at (0.0000, 0.0000, 0.5000).

Most stable to least stable, the ends of the list are a and b.

## a
Entry from Alexandria: BaCeGe after structural relaxation (GGA-PBE).

The space group is P4/nmm (No. 129, origin choice 2) and the conventional cell measures 4.7497, 4.7497 and 8.7085 Å, with angles of 90.00, 90.00 and 90.00 degrees. The distinct sites, in fractional coordinates, are Ba at (0.2500, 0.2500, 0.1366), Ce at (0.2500, 0.7500, 0.5000) and Ge at (0.2500, 0.2500, 0.7309).

## b
Entry from Alexandria: BaCeGe after structural relaxation (GGA-PBE).

The space group is P3m1 (No. 156) and the conventional cell measures 4.9942, 4.9942 and 4.9183 Å, with angles of 90.00, 90.00 and 120.00 degrees. The distinct sites, in fractional coordinates, are Ba at (0.0000, 0.0000, 0.0000), Ce at (0.3333, 0.6667, 0.5259) and Ge at (0.6667, 0.3333, 0.4397).

Most stable to least stable, the ends of the list are a and b.

## a
Entry from Alexandria: BaCe2N3 after structural relaxation (GGA-PBE).

The space group is P6_3/mcm (No. 193) and the conventional cell measures 6.1671, 6.1671 and 6.6920 Å, with angles of 90.00, 90.00 and 120.00 degrees. The distinct sites, in fractional coordinates, are Ba at (0.0000, 0.0000, 0.2500), Ce at (0.3333, 0.6667, 0.0000) and N at (0.0000, 0.4983, 0.2500).

## b
Entry from Alexandria: BaCe2N3 after structural relaxation (GGA-PBE).

The space group is Pmmn (No. 59, origin choice 2) and the conventional cell measures 4.2180, 12.8186 and 4.5197 Å, with angles of 90.00, 90.00 and 90.00 degrees. The distinct sites, in fractional coordinates, are Ba at (0.2500, 0.2500, 0.2473), Ce at (0.2500, 0.5710, 0.2499), N at (0.2500, 0.5158, 0.7502) and N at (0.2500, 0.7500, 0.2440).

Most stable to least stable, the ends of the list are b and a.

## a
Entry from Alexandria: BaCeO2 after structural relaxation (GGA-PBE).

The space group is R-3m (No. 166, hexagonal axes) and the conventional cell measures 3.6912, 3.6912 and 18.8022 Å, with angles of 90.00, 90.00 and 120.00 degrees. The distinct sites, in fractional coordinates, are Ba at (0.0000, 0.0000, 0.0000), Ce at (0.0000, 0.0000, 0.5000) and O at (0.0000, 0.0000, 0.2305).

## b
Entry from Alexandria: BaCeO2 after structural relaxation (GGA-PBE).

The space group is R3m (No. 160, hexagonal axes) and the conventional cell measures 3.6484, 3.6484 and 19.8119 Å, with angles of 90.00, 90.00 and 120.00 degrees. The distinct sites, in fractional coordinates, are Ba at (0.0000, 0.0000, 0.0000), Ce at (0.0000, 0.0000, 0.8235), O at (0.0000, 0.0000, 0.2199) and O at (0.0000, 0.0000, 0.4273).

Most stable to least stable, the ends of the list are a and b.

## a
Entry from Alexandria: Ba3CeRu2O9 after structural relaxation (GGA-PBE).

The space group is P-3m1 (No. 164) and the conventional cell measures 5.9034, 5.9034 and 7.3057 Å, with angles of 90.00, 90.00 and 120.00 degrees. The distinct sites, in fractional coordinates, are Ba at (0.0000, 0.0000, 0.0000), Ba at (0.3333, 0.6667, 0.6831), Ce at (0.0000, 0.0000, 0.5000), Ru at (0.3333, 0.6667, 0.1572), O at (0.0000, 0.5000, 0.0000) and O at (0.1754, 0.3508, 0.3186).

## b
Entry from Alexandria: Ba3CeRu2O9 after structural relaxation (GGA-PBE).

The space group is P6_3/mmc (No. 194) and the conventional cell measures 5.9657, 5.9657 and 14.8095 Å, with angles of 90.00, 90.00 and 120.00 degrees. The distinct sites, in fractional coordinates, are Ba at (0.0000, 0.0000, 0.2500), Ba at (0.3333, 0.6667, 0.0984), Ce at (0.0000, 0.0000, 0.0000), Ru at (0.3333, 0.6667, 0.6656), O at (0.0204, 0.5102, 0.7500) and O at (0.1752, 0.3503, 0.5880).

Most stable to least stable, the ends of the list are b and a.

## a
Entry from Alexandria: BaSrCe2O6 after structural relaxation (GGA-PBE).

The space group is Cmmm (No. 65) and the conventional cell measures 8.6934, 8.7701 and 4.4811 Å, with angles of 90.00, 90.00 and 90.00 degrees. The distinct sites, in fractional coordinates, are Ba at (0.0000, 0.0000, 0.0000), Sr at (0.0000, 0.5000, 0.0000), Ce at (0.2500, 0.2500, 0.5000), O at (0.0000, 0.1872, 0.5000), O at (0.1811, 0.5000, 0.5000) and O at (0.2500, 0.2500, 0.0000).

## b
Entry from Alexandria: BaSrCe2O6 after structural relaxation (GGA-PBE).

The space group is P4/mmm (No. 123) and the conventional cell measures 4.4492, 4.4492 and 8.8966 Å, with angles of 90.00, 90.00 and 90.00 degrees. The distinct sites, in fractional coordinates, are Ba at (0.0000, 0.0000, 0.0000), Sr at (0.0000, 0.0000, 0.5000), Ce at (0.5000, 0.5000, 0.2531), O at (0.0000, 0.5000, 0.2579), O at (0.5000, 0.5000, 0.0000) and O at (0.5000, 0.5000, 0.5000).

Most stable to least stable, the ends of the list are a and b.